Compound: TbZr2Ru3
Source: Alexandria
Functional: PBE
Structure: relaxed

a = 3.3101 Å, b = 3.3101 Å, c = 10.0530 Å
α = 90.00°, β = 90.00°, γ = 90.00°
Fractional coordinates of all 6 atoms:
Tb (0.5000, 0.5000, 0.5000)
Zr (0.5000, 0.5000, 0.8358)
Zr (0.5000, 0.5000, 0.1642)
Ru (0.0000, 0.0000, 0.0000)
Ru (0.0000, 0.0000, 0.6829)
Ru (0.0000, 0.0000, 0.3171)

Summary:
formation energy from the elements: -3.37 eV per formula unit

---

Compound: Rb2FeSCl6
Source: Alexandria
Functional: PBE
Structure: relaxed

a = 7.7597 Å, b = 7.7597 Å, c = 7.1261 Å
α = 57.01°, β = 57.01°, γ = 90.00°
Site moments in Bohr magnetons follow the coordinates.
Fractional coordinates of all 10 atoms:
S (0.5000, 0.5000, 0.0000)  -0.16
Fe (0.0000, 0.0000, 0.0000)  3.49
Rb (0.7500, 0.2500, 0.5000)  0.00
Rb (0.2500, 0.7500, 0.5000)  0.00
Cl (0.2571, 0.2571, 0.4858)  0.07
Cl (0.7429, 0.7429, 0.5142)  0.07
Cl (0.2166, 0.2166, 0.0000)  0.04
Cl (0.7834, 0.7834, 0.0000)  0.04
Cl (0.7834, 0.2166, 0.0000)  0.04
Cl (0.2166, 0.7834, 0.0000)  0.04

Summary:
energy relative to the elements, uncorrected: -9.25 eV per formula unit

---

Compound: SiAg2Ru
Source: Alexandria
Functional: PBE
Structure: relaxed

a = 3.0452 Å, b = 4.2773 Å, c = 4.7824 Å
α = 90.00°, β = 90.00°, γ = 90.00°
Fractional coordinates of all 4 atoms:
Ag (0.0000, 0.0000, 0.0000)
Ag (0.5000, 0.5000, 0.0000)
Ru (0.5000, 0.0000, 0.5000)
Si (0.0000, 0.5000, 0.5000)

Summary:
energy relative to the elements, uncorrected: 0.85 eV per formula unit